No. 1
ZnCI2N | PBE | optimized geometry

abc: 7.7370 7.7370 2.6399
angles: 90.00 90.00 90.00
Fractional coordinates of all 5 atoms:
Zn1 0.0000 0.0000 0.0000
C1 0.5000 0.5000 0.5000
I1 0.0000 0.5000 0.5000
I2 0.5000 0.0000 0.5000
N1 0.5000 0.5000 0.0000

The space group is No. 123. For the uncorrected formation energy, the calculation gives 786 meV per atom.

=====

No. 2
Mn2AgRh | PBE | optimized geometry

abc: 2.8292 2.8292 7.2895
angles: 90.00 90.00 90.00
Fractional coordinates of all 4 atoms:
Mn1 0.0000 0.0000 0.0000
Mn2 0.5000 0.5000 0.2270
Ag1 0.5000 0.5000 0.7257
Rh1 0.0000 0.0000 0.4333

The space group is No. 99. The energy of formation from the pure elements is 0.190 eV/atom.

=====

No. 3
CdInGaHg4 | PBE | optimized geometry

abc: 6.2458 6.2458 10.4409
angles: 92.62 92.62 61.57
Fractional coordinates of all 14 atoms:
Cd1 0.0050 0.0050 0.1423
Cd2 0.9950 0.9950 0.8577
In1 0.4601 0.4601 0.8393
In2 0.5399 0.5399 0.1607
Ga1 0.3800 0.3800 0.5550
Ga2 0.6200 0.6200 0.4450
Hg1 0.0677 0.5765 0.2973
Hg2 0.1107 0.1107 0.4200
Hg3 0.2521 0.2521 0.0248
Hg4 0.4235 0.9323 0.7027
Hg5 0.5765 0.0677 0.2973
Hg6 0.7479 0.7479 0.9752
Hg7 0.8893 0.8893 0.5800
Hg8 0.9323 0.4235 0.7027

The space group is No. 12. The energy of formation from the pure elements is 0.055 eV/atom.

=====

No. 4
PmGdGaCo | PBE | optimized geometry

abc: 5.0145 5.0145 5.0145
angles: 60.00 60.00 60.00
Fractional coordinates of all 4 atoms:
Pm1 0.0000 0.0000 0.0000
Gd1 0.5000 0.5000 0.5000
Ga1 0.7500 0.7500 0.7500
Co1 0.2500 0.2500 0.2500

The space group is No. 216. The energy of formation from the pure elements is -0.248 eV/atom.

=====

No. 5
RbAgSnAu2 | PBE | optimized geometry

abc: 5.3722 5.3722 5.3804
angles: 90.00 90.00 90.00
Fractional coordinates of all 5 atoms:
Rb1 0.0000 0.0000 0.0000
Ag1 0.5000 0.5000 0.0000
Sn1 0.5000 0.5000 0.5000
Au1 0.0000 0.5000 0.5000
Au2 0.5000 0.0000 0.5000

The space group is No. 123. The energy of formation from the pure elements is -0.065 eV/atom.